Entry from Alexandria: a relaxed structure of RbYCuBr5 (PBE).

The calculation puts the mass density at 3.71 g/cm³.

a b c (Å): 7.815 7.815 10.568
angles (deg): 103.66 103.66 106.14
Last column: magnetic moment on the atom in μB.
Fractional positions:
Br 0.766 0.621 0.427  0.01
Br 0.379 0.234 0.073  0.01
Br 0.922 0.078 0.750  0.00
Br 0.903 0.311 0.110  0.01
Br 0.078 0.922 0.250  0.00
Br 0.097 0.689 0.890  0.01
Br 0.621 0.766 0.927  0.01
Br 0.234 0.379 0.573  0.01
Br 0.689 0.097 0.390  0.01
Br 0.311 0.903 0.610  0.01
Y 0.000 0.000 0.000  0.00
Y 0.000 0.000 0.500  0.00
Rb 0.352 0.648 0.250  0.00
Rb 0.648 0.352 0.750  0.00
Cu 0.310 0.690 0.750  0.12
Cu 0.690 0.310 0.250  0.12

***

Entry from Alexandria: a relaxed structure of Rb2YCuBr6 (PBE).

The calculation puts the mass density at 4.01 g/cm³.

a b c (Å): 7.775 7.775 7.775
angles (deg): 60.00 60.00 60.00
Fractional positions:
Br 0.245 0.245 0.755
Br 0.245 0.755 0.245
Br 0.245 0.755 0.755
Br 0.755 0.245 0.755
Br 0.755 0.755 0.245
Br 0.755 0.245 0.245
Rb 0.750 0.750 0.750
Rb 0.250 0.250 0.250
Cu 0.000 0.000 0.000
Y 0.500 0.500 0.500

***

Entry from Alexandria: a relaxed structure of RbZr2CuBr (PBE).

The calculation puts the mass density at 3.41 g/cm³.

a b c (Å): 4.895 8.356 4.895
angles (deg): 90.00 90.00 90.00
Last column: magnetic moment on the atom in μB.
Fractional positions:
Zr 0.000 0.000 0.500  0.51
Zr 0.500 0.000 0.000  0.63
Cu 0.000 0.000 0.000  0.12
Rb 0.500 0.500 0.500  0.01
Br 0.000 0.500 0.000  0.01

***

Entry from Alexandria: a relaxed structure of CuReBr2 (PBE).

The calculation puts the mass density at 8.61 g/cm³.

a b c (Å): 3.106 3.106 8.192
angles (deg): 90.00 90.00 90.00
Fractional positions:
Br 0.000 0.000 0.912
Br 0.500 0.500 0.328
Cu 0.000 0.000 0.528
Re 0.500 0.500 0.732

***

Entry from Alexandria: a relaxed structure of CuReBr2 (PBE).

The calculation puts the mass density at 6.36 g/cm³.

a b c (Å): 4.859 4.859 7.799
angles (deg): 73.23 73.23 37.60
Last column: magnetic moment on the atom in μB.
Fractional positions:
Br 0.111 0.111 0.901  0.04
Br 0.255 0.255 0.356  0.04
Re 0.700 0.700 0.631  0.99
Cu 0.433 0.433 0.611  0.12

***

Entry from Alexandria: a relaxed structure of Cu2ReBr8 (PBE).

The calculation puts the mass density at 4.60 g/cm³.

a b c (Å): 6.191 7.936 7.936
angles (deg): 62.19 93.75 93.75
Last column: magnetic moment on the atom in μB.
Fractional positions:
Br 0.233 0.147 0.715  0.00
Br 0.767 0.285 0.853  0.00
Br 0.233 0.715 0.147  0.00
Br 0.230 0.160 0.160  -0.01
Br 0.767 0.853 0.285  0.00
Br 0.770 0.840 0.840  -0.01
Br 0.739 0.340 0.340  -0.15
Br 0.261 0.660 0.660  -0.15
Cu 0.374 0.824 0.824  -0.21
Cu 0.626 0.176 0.176  -0.21
Re 0.000 0.000 0.000  1.53

***

Entry from Alexandria: a relaxed structure of Cu2ReBr (PBE).

The calculation puts the mass density at 10.56 g/cm³.

a b c (Å): 5.073 5.073 5.073
angles (deg): 136.15 136.15 63.75
Last column: magnetic moment on the atom in μB.
Fractional positions:
Cu 0.000 0.000 0.000  0.10
Cu 0.500 0.500 0.000  0.10
Br 0.750 0.250 0.500  0.05
Re 0.250 0.750 0.500  1.66

***

Entry from Alexandria: a relaxed structure of CuRe2Br (PBE).

The calculation puts the mass density at 13.16 g/cm³.

a b c (Å): 4.677 3.731 3.731
angles (deg): 90.00 90.00 90.00
Fractional positions:
Cu 0.500 0.000 0.500
Re 0.000 0.000 0.000
Re 0.000 0.500 0.500
Br 0.500 0.500 0.000

***

Entry from Alexandria: a relaxed structure of CuRe2Br (PBE).

The calculation puts the mass density at 10.03 g/cm³.

a b c (Å): 2.656 2.656 13.660
angles (deg): 90.00 90.00 117.60
Fractional positions:
Re 0.000 0.000 0.914
Re 0.000 0.000 0.586
Br 0.500 0.500 0.250
Cu 0.500 0.500 0.750

***

Entry from Alexandria: a relaxed structure of CuRe2Br (PBE).

The calculation puts the mass density at 10.98 g/cm³.

a b c (Å): 4.525 3.552 4.996
angles (deg): 103.64 90.00 90.00
Fractional positions:
Re 0.000 0.067 0.912
Re 0.000 0.433 0.588
Cu 0.500 0.750 0.750
Br 0.500 0.250 0.250

***

Entry from Alexandria: a relaxed structure of CuRe2Br (PBE).

The calculation puts the mass density at 12.83 g/cm³.

a b c (Å): 3.175 3.175 6.622
angles (deg): 90.00 90.00 90.00
Fractional positions:
Re 0.000 0.000 0.930
Re 0.000 0.000 0.570
Cu 0.500 0.500 0.750
Br 0.500 0.500 0.250

***

Entry from Alexandria: a relaxed structure of CuRe2Br8 (PBE).

The calculation puts the mass density at 4.12 g/cm³.

a b c (Å): 6.990 8.074 8.074
angles (deg): 72.07 87.70 87.70
Last column: magnetic moment on the atom in μB.
Fractional positions:
Re 0.657 0.795 0.795  -0.34
Re 0.343 0.205 0.205  -0.34
Br 0.180 0.934 0.290  -0.01
Br 0.741 0.617 0.617  -0.03
Br 0.322 0.831 0.831  -0.03
Br 0.820 0.066 0.710  -0.01
Br 0.820 0.710 0.066  -0.01
Br 0.259 0.383 0.383  -0.03
Br 0.678 0.169 0.169  -0.03
Br 0.180 0.290 0.934  -0.01
Cu 0.000 0.000 0.000  0.00

***

Entry from Alexandria: a relaxed structure of CuReBr2 (PBE).

The calculation puts the mass density at 9.98 g/cm³.

a b c (Å): 4.585 4.585 4.585
angles (deg): 60.00 60.00 60.00
Fractional positions:
Re 0.500 0.500 0.500
Cu 0.000 0.000 0.000
Br 0.250 0.250 0.250
Br 0.750 0.750 0.750

***

Entry from Alexandria: a relaxed structure of CuRe2Br (PBE).

The calculation puts the mass density at 12.09 g/cm³.

a b c (Å): 3.054 3.114 7.454
angles (deg): 89.99 90.00 90.00
Fractional positions:
Re 0.500 0.500 0.199
Re 0.000 0.000 0.016
Cu 0.500 0.501 0.793
Br 0.000 0.499 0.492

***

Entry from Alexandria: a relaxed structure of CuReBr2 (PBE).

The calculation puts the mass density at 7.96 g/cm³.

a b c (Å): 6.684 6.684 6.684
angles (deg): 153.77 139.49 48.90
Last column: magnetic moment on the atom in μB.
Fractional positions:
Br 0.069 0.069 0.000  0.02
Br 0.772 0.272 0.500  0.02
Cu 0.416 0.416 0.000  0.07
Re 0.243 0.743 0.500  0.73

***

Entry from Alexandria: a relaxed structure of CuReBr2 (PBE).

The calculation puts the mass density at 8.29 g/cm³.

a b c (Å): 9.296 9.296 9.296
angles (deg): 19.98 19.98 19.98
Fractional positions:
Re 0.758 0.758 0.758
Cu 0.494 0.494 0.494
Br 0.223 0.223 0.223
Br 0.025 0.025 0.025

***

Entry from Alexandria: a relaxed structure of Cu2ReBr (PBE).

The calculation puts the mass density at 10.65 g/cm³.

a b c (Å): 5.131 5.131 4.619
angles (deg): 70.31 70.31 32.58
Fractional positions:
Re 0.250 0.250 0.250
Cu 0.506 0.506 0.477
Cu 0.994 0.994 0.023
Br 0.750 0.750 0.750

***

Entry from Alexandria: a relaxed structure of Cu2ReBr (PBE).

The calculation puts the mass density at 10.80 g/cm³.

a b c (Å): 2.898 4.516 4.620
angles (deg): 90.00 90.00 90.00
Fractional positions:
Cu 0.500 0.500 0.000
Cu 0.000 0.000 0.000
Re 0.500 0.000 0.500
Br 0.000 0.500 0.500

***

Entry from Alexandria: a relaxed structure of Cu2ReBr (PBE).

The calculation puts the mass density at 10.66 g/cm³.

a b c (Å): 5.379 5.379 5.379
angles (deg): 149.01 129.57 60.38
Fractional positions:
Cu 0.993 0.993 0.000
Cu 0.507 0.507 0.000
Re 0.750 0.250 0.500
Br 0.250 0.750 0.500

***

Entry from Alexandria: a relaxed structure of Cu2ReBr (PBE).

The calculation puts the mass density at 10.00 g/cm³.

a b c (Å): 2.549 5.060 5.060
angles (deg): 90.00 90.00 90.00
Last column: magnetic moment on the atom in μB.
Fractional positions:
Cu 0.000 0.000 0.000  0.04
Cu 0.000 0.500 0.500  0.04
Re 0.500 0.500 0.000  0.89
Br 0.500 0.000 0.500  0.05

***

no.,VASP energy (eV/cell),size of the total moment (μB/f.u.)
1,-62.8,0.15
2,-37.3,0.05
3,-20.8,2.21
4,-17.3,0.00
5,-17.8,1.35
6,-36.3,0.90
7,-17.4,2.12
8,-25.0,0.00
9,-26.6,0.00
10,-26.9,0.00
11,-26.7,0.00
12,-41.4,0.97
13,-15.3,0.00
14,-28.8,0.00
15,-16.6,0.99
16,-17.9,0.00
17,-18.4,0.00
18,-18.2,0.01
19,-18.4,0.00
20,-18.2,1.17